Model w:
VAgPd: relaxed, PBE.

Cell: 2.7802 2.7802 6.9661 Å, 90.00 90.00 120.00°
Space group P3m1 (No. 156)
Unique sites:
V (0.0000, 0.0000, 0.0000) (multiplicity 1)
Ag (0.3333, 0.6667, 0.6564) (multiplicity 1)
Pd (0.6667, 0.3333, 0.2996) (multiplicity 1)

Computed properties:
- crystal system = trigonal

---

Model x:
VAgPd: relaxed, PBE.

Cell: 4.8024 7.8232 10.3504 Å, 90.00 90.00 90.00°
Space group Fmmm (No. 69)
Unique sites:
V (0.2500, 0.2500, 0.2500) (multiplicity 8)
Ag (0.0000, 0.1686, 0.0000) (multiplicity 8)
Pd (0.0000, 0.0000, 0.3714) (multiplicity 8)

Computed properties:
- crystal system = orthorhombic

---

Stability, highest: model w

---

Model w:
AgPdW2: relaxed, PBE.

Cell: 6.3891 6.3891 6.3891 Å, 90.00 90.00 90.00°
Space group Fm-3m (No. 225)
Unique sites:
Ag (0.0000, 0.0000, 0.0000) (multiplicity 4)
Pd (0.0000, 0.0000, 0.5000) (multiplicity 4)
W (0.2500, 0.2500, 0.2500) (multiplicity 8)

Computed properties:
- crystal system = cubic

---

Model x:
AgPdW2: relaxed, PBE.

Cell: 7.3209 7.3209 5.2429 Å, 90.00 90.00 90.00°
Space group I-42d (No. 122)
Unique sites:
Ag (0.0000, 0.0000, 0.0000) (multiplicity 4)
Pd (0.0000, 0.0000, 0.5000) (multiplicity 4)
W (0.2316, 0.2500, 0.6250) (multiplicity 8)

Computed properties:
- crystal system = tetragonal

---

Stability, highest: model w

---

Model w:
Ag2PdW: relaxed, PBE.

Cell: 6.4049 6.4049 6.4049 Å, 90.00 90.00 90.00°
Space group Fm-3m (No. 225)
Unique sites:
Ag (0.2500, 0.2500, 0.2500) (multiplicity 8)
Pd (0.0000, 0.0000, 0.0000) (multiplicity 4)
W (0.0000, 0.0000, 0.5000) (multiplicity 4)

Computed properties:
- crystal system = cubic

---

Model x:
Ag2PdW: relaxed, PBE.

Cell: 7.3875 7.3875 5.3347 Å, 90.00 90.00 90.00°
Space group I-42d (No. 122)
Unique sites:
Ag (0.2495, 0.2500, 0.1250) (multiplicity 8)
Pd (0.0000, 0.0000, 0.5000) (multiplicity 4)
W (0.0000, 0.0000, 0.0000) (multiplicity 4)

Computed properties:
- crystal system = tetragonal

---

Stability, highest: model w

---

Model w:
Y2Ag2Pd: relaxed, PBE.

Cell: 7.7846 7.7846 4.0248 Å, 90.00 90.00 90.00°
Space group P4/mbm (No. 127)
Unique sites:
Y (0.1691, 0.3309, 0.0000) (multiplicity 4)
Ag (0.1295, 0.6295, 0.5000) (multiplicity 4)
Pd (0.0000, 0.0000, 0.0000) (multiplicity 2)

Computed properties:
- crystal system = tetragonal

---

Model x:
Y2Ag2Pd: relaxed, PBE.

Cell: 3.7515 3.7515 16.8211 Å, 90.00 90.00 90.00°
Space group I4/mmm (No. 139)
Unique sites:
Y (0.0000, 0.0000, 0.0966) (multiplicity 4)
Ag (0.0000, 0.5000, 0.2500) (multiplicity 4)
Pd (0.0000, 0.0000, 0.5000) (multiplicity 2)

Computed properties:
- crystal system = tetragonal

---

Stability, highest: model x

---

Model w:
Y2Ag2Pd: relaxed, PBE.

Cell: 7.5437 7.5437 4.0144 Å, 90.00 90.00 90.00°
Space group P4/mbm (No. 127)
Unique sites:
Y (0.1761, 0.3239, 0.0000) (multiplicity 4)
Ag (0.1287, 0.6287, 0.5000) (multiplicity 4)
Pd (0.0000, 0.0000, 0.5000) (multiplicity 2)

Computed properties:
- crystal system = tetragonal

---

Model x:
Y2Ag2Pd: relaxed, PBE.

Cell: 5.5835 5.5835 7.9396 Å, 90.00 90.00 90.00°
Space group I4/mmm (No. 139)
Unique sites:
Y (0.0000, 0.5000, 0.2500) (multiplicity 4)
Ag (0.0000, 0.0000, 0.1582) (multiplicity 4)
Pd (0.0000, 0.0000, 0.5000) (multiplicity 2)

Computed properties:
- crystal system = tetragonal

---

Model y:
Y2Ag2Pd: relaxed, PBE.

Cell: 7.9729 4.6302 6.8912 Å, 90.00 112.85 90.00°
Space group C2/m (No. 12)
Unique sites:
Y (0.0951, 0.0000, 0.2873) (multiplicity 4)
Ag (0.1555, 0.5000, 0.9655) (multiplicity 4)
Pd (0.0000, 0.5000, 0.5000) (multiplicity 2)

Computed properties:
- crystal system = monoclinic

---

Stability, highest: model y

---

Model w:
YAg2Pd: relaxed, PBE.

Cell: 4.0163 4.0163 20.9627 Å, 90.00 90.00 90.00°
Space group I-42d (No. 122)
Unique sites:
Y (0.0000, 0.0000, 0.0000) (multiplicity 4)
Ag (0.2320, 0.2500, 0.6250) (multiplicity 8)
Pd (0.0000, 0.0000, 0.5000) (multiplicity 4)

Computed properties:
- crystal system = tetragonal

---

Model x:
YAg2Pd: relaxed, PBE.

Cell: 4.0749 4.0749 4.7976 Å, 90.00 90.00 90.00°
Space group P4/mmm (No. 123)
Unique sites:
Y (0.0000, 0.0000, 0.0000) (multiplicity 1)
Ag (0.0000, 0.5000, 0.5000) (multiplicity 2)
Pd (0.5000, 0.5000, 0.0000) (multiplicity 1)

Computed properties:
- crystal system = tetragonal

---

Stability, highest: model x

---

Model w:
YAg2Pd: relaxed, PBE.

Cell: 6.8277 6.8277 6.8277 Å, 90.00 90.00 90.00°
Space group Fm-3m (No. 225)
Unique sites:
Y (0.0000, 0.0000, 0.0000) (multiplicity 4)
Ag (0.2500, 0.2500, 0.2500) (multiplicity 8)
Pd (0.0000, 0.0000, 0.5000) (multiplicity 4)

Computed properties:
- crystal system = cubic

---

Model x:
YAg2Pd: relaxed, PBE.

Cell: 3.0537 3.0537 30.8687 Å, 90.00 90.00 120.00°
Space group R-3m (No. 166, hexagonal axes)
Unique sites:
Y (0.0000, 0.0000, 0.0000) (multiplicity 3)
Ag (0.0000, 0.0000, 0.0947) (multiplicity 6)
Pd (0.0000, 0.0000, 0.5000) (multiplicity 3)

Computed properties:
- crystal system = trigonal

---

Stability, highest: model w

---

Model w:
YAg2Pd: relaxed, PBE.

Cell: 5.7942 9.2386 4.0564 Å, 90.00 134.35 90.00°
Space group C2/m (No. 12)
Unique sites:
Y (0.0000, 0.0000, 0.0000) (multiplicity 2)
Ag (0.0000, 0.2516, 0.5000) (multiplicity 4)
Pd (0.0000, 0.5000, 0.0000) (multiplicity 2)

Computed properties:
- crystal system = monoclinic

---

Model x:
YAg2Pd: relaxed, PBE.

Cell: 4.2272 7.9799 5.3283 Å, 90.00 113.33 90.00°
Space group P2_1/m (No. 11)
Unique sites:
Y (0.0643, 0.2500, 0.1296) (multiplicity 2)
Ag (0.3640, 0.0551, 0.7275) (multiplicity 4)
Pd (0.2297, 0.7500, 0.4598) (multiplicity 2)

Computed properties:
- crystal system = monoclinic

---

Stability, highest: model w

---

Model w:
YAg3Pd: relaxed, PBE.

Cell: 5.3646 5.3646 5.3646 Å, 90.00 90.00 90.00°
Space group Pm-3m (No. 221)
Unique sites:
Y (0.0000, 0.0000, 0.0000) (multiplicity 1)
Ag (0.0000, 0.0000, 0.5000) (multiplicity 3)
Pd (0.5000, 0.5000, 0.5000) (multiplicity 1)

Computed properties:
- crystal system = cubic

---

Model x:
YAg3Pd: relaxed, PBE.

Cell: 5.2192 5.2192 18.5824 Å, 90.00 90.00 90.00°
Space group I-4m2 (No. 119)
Unique sites:
Y (0.0000, 0.0000, 0.1917) (multiplicity 4)
Ag (0.0000, 0.2482, 0.6241) (multiplicity 8)
Ag (0.0000, 0.5000, 0.0722) (multiplicity 4)
Pd (0.0000, 0.0000, 0.5000) (multiplicity 2)
Pd (0.0000, 0.5000, 0.7500) (multiplicity 2)

Computed properties:
- crystal system = tetragonal

---

Stability, highest: model x

---

Model w:
YAgPd: relaxed, PBE.

Cell: 4.6555 4.6555 3.3989 Å, 90.00 90.00 120.00°
Space group P-6m2 (No. 187)
Unique sites:
Y (0.0000, 0.0000, 0.0000) (multiplicity 1)
Ag (0.3333, 0.6667, 0.5000) (multiplicity 1)
Pd (0.6667, 0.3333, 0.5000) (multiplicity 1)

Computed properties:
- crystal system = hexagonal

---

Model x:
YAgPd: relaxed, PBE.

Cell: 4.6172 9.5580 5.6810 Å, 90.00 90.00 90.00°
Space group Cmcm (No. 63)
Unique sites:
Y (0.0000, 0.1954, 0.2500) (multiplicity 4)
Ag (0.0000, 0.5000, 0.0000) (multiplicity 4)
Pd (0.0000, 0.1132, 0.7500) (multiplicity 4)

Computed properties:
- crystal system = orthorhombic

---

Model y:
YAgPd: relaxed, PBE.

Cell: 3.6765 3.6765 9.1700 Å, 90.00 90.00 90.00°
Space group I4mm (No. 107)
Unique sites:
Y (0.0000, 0.0000, 0.0000) (multiplicity 2)
Ag (0.0000, 0.0000, 0.3229) (multiplicity 2)
Pd (0.0000, 0.0000, 0.6569) (multiplicity 2)

Computed properties:
- crystal system = tetragonal

---

Model z:
YAgPd: relaxed, PBE.

Cell: 5.2936 5.2936 7.5677 Å, 90.00 90.00 120.00°
Space group P3_212 (No. 153)
Unique sites:
Y (0.0283, 0.5141, 0.0000) (multiplicity 3)
Ag (0.1322, 0.2644, 0.3333) (multiplicity 3)
Pd (0.3887, 0.1944, 0.0000) (multiplicity 3)

Computed properties:
- crystal system = trigonal

---

Stability, highest: model x

---

Model w:
YAgPd: relaxed, PBE.

Cell: 4.4026 3.4537 8.5972 Å, 90.00 90.00 90.00°
Space group Pmma (No. 51)
Unique sites:
Y (0.2500, 0.0000, 0.2114) (multiplicity 2)
Ag (0.2500, 0.5000, 0.5909) (multiplicity 2)
Pd (0.2500, 0.5000, 0.9068) (multiplicity 2)

Computed properties:
- crystal system = orthorhombic

---

Model x:
YAgPd: relaxed, PBE.

Cell: 6.5819 6.5819 6.5819 Å, 90.00 90.00 90.00°
Space group F-43m (No. 216)
Unique sites:
Y (0.0000, 0.0000, 0.0000) (multiplicity 4)
Ag (0.0000, 0.0000, 0.5000) (multiplicity 4)
Pd (0.2500, 0.2500, 0.2500) (multiplicity 4)

Computed properties:
- crystal system = cubic

---

Stability, highest: model w

---

Model w:
Y2AgPd4: relaxed, PBE.

Cell: 4.0161 4.0161 18.2100 Å, 90.00 90.00 90.00°
Space group I4/mmm (No. 139)
Unique sites:
Y (0.0000, 0.0000, 0.1192) (multiplicity 4)
Ag (0.0000, 0.0000, 0.5000) (multiplicity 2)
Pd (0.0000, 0.0000, 0.3538) (multiplicity 4)
Pd (0.0000, 0.5000, 0.2500) (multiplicity 4)

Computed properties:
- crystal system = tetragonal

---

Model x:
Y2AgPd4: relaxed, PBE.

Cell: 4.8982 4.8982 14.0634 Å, 90.00 90.00 90.00°
Space group I4/mmm (No. 139)
Unique sites:
Y (0.0000, 0.0000, 0.1285) (multiplicity 4)
Ag (0.0000, 0.0000, 0.5000) (multiplicity 2)
Pd (0.0000, 0.0000, 0.3129) (multiplicity 4)
Pd (0.0000, 0.5000, 0.0000) (multiplicity 4)

Computed properties:
- crystal system = tetragonal

---

Stability, highest: model w